The following is a GGA+U calculation of a relaxed Ca2CoPbO6 crystal, from Alexandria.

Output
Total DFT energy (no corrections) = -5.83 eV/atom
Total moment = 3.03 μB per formula unit

```
data_Ca2CoPbO6
_cell_length_a 5.3373
_cell_length_b 5.3373
_cell_length_c 5.0590
_cell_angle_alpha 90.00
_cell_angle_beta 90.00
_cell_angle_gamma 90.00
_symmetry_space_group_name_H-M 'P 4 m m'
_symmetry_Int_Tables_number 99
loop_
_symmetry_equiv_pos_as_xyz
'x,y,z'
'-y,x,z'
'-x,-y,z'
'y,-x,z'
'-x,y,z'
'y,x,z'
'x,-y,z'
'-y,-x,z'
loop_
_atom_site_label
_atom_site_type_symbol
_atom_site_fract_x
_atom_site_fract_y
_atom_site_fract_z
Ca1 Ca 0.0000 0.5000 0.0000
Co1 Co 0.0000 0.0000 0.5953
Pb1 Pb 0.5000 0.5000 0.5588
O1 O 0.0000 0.0000 0.2458
O2 O 0.2361 0.2361 0.7245
O3 O 0.5000 0.5000 0.1490
```